# 1
10
Lattice="-1.103 6.716 -3.089 -7.389 -0.910 0.659 -4.094 5.122 3.554" Properties=species:S:1:pos:R:3 comment="Cs2GaGeCl6, relaxed, DFT PBE-GGA" formation_energy_uncorrected_mev_per_atom=-1331 magmom_total_mub_per_fu=0.00 energy_ev_per_atom=-3.374 pbc="T T T"
Cs -4.721 7.370 -0.375
Cs -7.864 3.557 1.499
Ge 0.000 0.000 0.000
Ga -4.246 2.903 -1.215
Cl -4.170 4.002 1.147
Cl -8.415 6.926 -0.023
Cl -2.139 1.463 -0.612
Cl -6.353 4.344 -1.818
Cl -2.686 4.795 -2.145
Cl -5.806 1.011 -0.285


# 2
30
Lattice="7.669 -0.024 0.000 -6.041 4.725 0.000 0.000 0.000 8.574" Properties=species:S:1:pos:R:3 comment="Na5B7C3, relaxed, DFT PBE-GGA" delta_e_f_ev_per_atom=0.143 magmom_total_mub_per_fu=0.00 energy_ev_per_atom=-5.258 pbc="T T T"
Na -3.313 3.759 0.032
Na -3.313 3.759 4.255
Na -0.553 2.837 0.043
Na -0.553 2.837 4.244
Na -0.004 0.006 0.038
Na -0.004 0.006 4.249
Na 2.186 1.854 0.032
Na 2.186 1.854 4.255
Na 4.935 0.928 0.038
Na 4.935 0.928 4.249
B -2.225 2.586 6.430
B -2.200 2.518 2.143
B -1.495 4.124 6.430
B 0.606 1.605 6.430
B 0.545 1.567 2.143
B 0.983 3.265 6.430
B 2.737 3.318 6.430
B 2.729 3.443 2.143
B 1.540 0.260 6.430
B 3.200 0.525 6.430
B 3.284 0.618 2.143
B 3.878 2.082 6.430
B -0.013 4.394 2.143
B -1.089 1.289 6.430
C -1.657 4.085 2.143
C 1.087 3.134 2.143
C 1.643 0.309 2.143
C 3.828 2.184 2.143
C 0.014 4.472 6.430
C -1.099 1.260 2.143


# 3
24
Lattice="-0.844 -5.405 -5.478 10.214 -1.764 0.167 -6.366 -5.313 6.222" Properties=species:S:1:pos:R:3 comment="CdAg4Cl7, relaxed, DFT PBE-GGA" formation_energy_uncorrected_mev_per_atom=-540 magmom_total_mub_per_fu=0.00 energy_ev_per_atom=-2.644 pbc="T T T"
Cd 2.263 -9.379 0.699
Cd 0.742 -3.103 0.212
Ag 4.590 -5.580 -0.672
Ag -1.164 -4.199 4.322
Ag 5.012 -2.877 2.067
Ag 1.136 -7.786 4.772
Ag 4.991 -6.961 3.364
Ag -1.585 -6.902 1.583
Ag -1.987 -5.521 -2.453
Ag 1.868 -4.695 -3.861
Cl 3.636 -8.425 5.017
Cl 2.815 -1.837 1.216
Cl -0.631 -4.057 -4.106
Cl 0.189 -10.644 -0.305
Cl 3.940 -7.384 1.046
Cl -2.830 -5.923 3.545
Cl 2.419 -4.379 -1.360
Cl -0.539 -2.555 2.441
Cl -3.312 -8.516 0.706
Cl 3.543 -9.926 -1.530
Cl 6.316 -3.966 0.205
Cl -0.936 -5.097 -0.135
Cl 5.834 -6.558 -2.634
Cl 0.586 -8.102 2.271


# 4
3
Lattice="-3.405 -0.446 -2.898 -3.022 -3.276 0.571 -4.187 1.005 1.282" Properties=species:S:1:pos:R:3 comment="PmZnNi, relaxed, DFT PBE-GGA" delta_e_f_ev_per_atom=-0.217 magmom_total_mub_per_fu=0.00 energy_ev_per_atom=-4.153 pbc="T T T"
Ni -2.653 -0.679 -0.261
Zn -5.307 -1.358 -0.523
Pm 0.000 0.000 0.000


# 5
3
Lattice="4.636 0.006 0.004 2.295 4.027 -0.004 -3.050 -2.731 2.175" Properties=species:S:1:pos:R:3 comment="CoReTc, relaxed, DFT PBE-GGA" delta_e_f_ev_per_atom=0.081 magmom_total_mub_per_fu=0.99 energy_ev_per_atom=-9.892 pbc="T T T"
Co 6.929 4.033 0.000
Re 2.338 1.361 0.000
Tc 4.594 2.674 0.000


# 6
9
Lattice="-3.615 -0.026 1.057 -0.478 -7.770 -1.828 2.138 2.250 7.369" Properties=species:S:1:pos:R:3 comment="Ce6CoSi2, relaxed, DFT PBE-GGA" formation_energy_uncorrected_mev_per_atom=-383 magmom_total_mub_per_fu=0.00 energy_ev_per_atom=-6.333 pbc="T T T"
Ce -1.109 -2.335 2.859
Ce -2.084 -4.514 -0.530
Ce -0.569 1.290 4.798
Ce 1.243 -4.136 4.152
Ce -0.120 -1.947 -0.458
Ce 0.536 0.564 1.847
Co -1.807 -0.013 0.528
Si 0.394 -4.430 1.238
Si 1.266 -1.090 4.304


# 7
18
Lattice="7.559 0.000 0.000 0.000 10.043 0.000 0.000 0.000 10.043" Properties=species:S:1:pos:R:3 comment="Rb4BTe4, relaxed, DFT PBE-GGA" formation_energy_uncorrected_mev_per_atom=-583 magmom_total_mub_per_fu=1.11 energy_ev_per_atom=-3.151 pbc="T T T"
Rb 2.589 2.708 10.037
Rb 6.369 5.027 7.729
Rb 2.589 7.335 0.006
Rb 1.191 2.313 5.027
Rb 4.970 10.037 7.335
Rb 1.191 7.729 5.015
Rb 6.369 5.015 2.313
Rb 4.970 0.006 2.708
B 0.000 0.000 0.000
B 3.780 5.021 5.021
Te 4.980 7.012 5.016
Te 4.980 3.031 5.027
Te 1.200 10.037 8.052
Te 6.359 1.991 10.037
Te 6.359 8.052 0.006
Te 2.579 5.016 3.031
Te 2.579 5.027 7.012
Te 1.200 0.006 1.991


# 8
12
Lattice="-3.174 -1.270 -7.627 7.446 -3.200 2.041 -4.923 -4.961 4.418" Properties=species:S:1:pos:R:3 comment="Sr3Ac2PaBi6, relaxed, DFT PBE-GGA" delta_e_f_ev_per_atom=-0.758 magmom_total_mub_per_fu=0.00 energy_ev_per_atom=-4.595 pbc="T T T"
Sr 3.119 -5.342 2.552
Sr -3.770 -4.090 -3.719
Sr -0.325 -4.716 -0.584
Ac 3.891 -2.554 -1.195
Ac 0.381 -1.916 -4.390
Pa 0.000 0.000 0.000
Bi -2.151 -6.927 -2.408
Bi 2.117 -4.638 -3.251
Bi 1.500 -2.504 1.240
Bi 1.162 -7.529 0.608
Bi -2.768 -4.793 2.084
Bi -1.813 -1.902 -1.776